Entry from Alexandria via LeMat-Bulk: a geometry-optimized NdTh2Bi2Te2 structure (GGA-PBE).

Geometry as POSCAR:
```
NdTh2Bi2Te2
1.0
6.1062 0.0000 0.0000
0.0000 6.1062 0.0000
-3.0531 -3.0531 7.6035
Th Te Nd Bi
2 2 1 2
Cartesian
0.0000 0.0000 6.0218
3.0531 3.0531 1.5817
0.0000 0.0000 3.1075
3.0531 3.0531 4.4960
0.0000 0.0000 0.0000
3.0531 0.0000 0.0000
0.0000 3.0531 0.0000
```

Output
- E_form (uncorrected): -0.393 eV per atom
- Space-group type: No. 139
- M_tot: 0.895 μB per formula unit
- Volume: 283.50 Å³/cell
- Total energy: -5.2002 eV per atom